VASP calculation (PBE) on BaCuHg2 after structural relaxation.

- E_form (meV/atom) = -159
- size of the total moment (μB/f.u.) = 0.0

```
data_BaCuHg2
_chemical_formula_sum 'Ba2 Cu2 Hg4'
_space_group_name_H-M_alt 'I m m m'
_space_group_IT_number 71
_space_group_name_Hall '-I 2 2'
_cell_length_a 4.1086
_cell_length_b 5.8034
_cell_length_c 9.5152
_cell_angle_alpha 90.00
_cell_angle_beta 90.00
_cell_angle_gamma 90.00
loop_
_atom_site_label
_atom_site_fract_x
_atom_site_fract_y
_atom_site_fract_z
_atom_site_occupancy
Ba1 0.0000 0.0000 0.0000 1
Cu1 0.0000 0.0000 0.5000 1
Hg1 0.0000 0.5000 0.2006 1
```

VASP calculation (PBE) on BaCuHg2 after structural relaxation.

- E_form (meV/atom) = -205
- size of the total moment (μB/f.u.) = 0.0

```
data_BaCuHg2
_chemical_formula_sum 'Ba2 Cu2 Hg4'
_space_group_name_H-M_alt 'C 1 2/m 1'
_space_group_IT_number 12
_space_group_name_Hall '-C 2y'
_cell_length_a 8.2273
_cell_length_b 4.7558
_cell_length_c 6.4665
_cell_angle_alpha 90.00
_cell_angle_beta 115.34
_cell_angle_gamma 90.00
loop_
_atom_site_label
_atom_site_fract_x
_atom_site_fract_y
_atom_site_fract_z
_atom_site_occupancy
Ba1 0.0000 0.0000 0.0000 1
Cu1 0.0000 0.5000 0.5000 1
Hg1 0.2082 0.0000 0.6236 1
```

VASP calculation (PBE) on BaCuHg after structural relaxation.

- E_form (meV/atom) = 166
- size of the total moment (μB/f.u.) = 0.0

```
data_BaCuHg
_chemical_formula_sum 'Ba4 Cu4 Hg4'
_space_group_name_H-M_alt 'F -4 3 m'
_space_group_IT_number 216
_space_group_name_Hall 'F -4 2 3'
_cell_length_a 7.7083
_cell_length_b 7.7083
_cell_length_c 7.7083
_cell_angle_alpha 90.00
_cell_angle_beta 90.00
_cell_angle_gamma 90.00
loop_
_atom_site_label
_atom_site_fract_x
_atom_site_fract_y
_atom_site_fract_z
_atom_site_occupancy
Ba1 0.0000 0.0000 0.0000 1
Cu1 0.2500 0.2500 0.2500 1
Hg1 0.2500 0.2500 0.7500 1
```

VASP calculation (PBE) on BaInCuHg2 after structural relaxation.

- E_form (meV/atom) = -189
- size of the total moment (μB/f.u.) = 0.0

```
data_BaInCuHg2
_chemical_formula_sum 'Ba1 In1 Cu1 Hg2'
_space_group_name_H-M_alt 'P 4/m m m'
_space_group_IT_number 123
_space_group_name_Hall '-P 4 2'
_cell_length_a 5.2041
_cell_length_b 5.2041
_cell_length_c 5.0876
_cell_angle_alpha 90.00
_cell_angle_beta 90.00
_cell_angle_gamma 90.00
loop_
_atom_site_label
_atom_site_fract_x
_atom_site_fract_y
_atom_site_fract_z
_atom_site_occupancy
Ba1 0.0000 0.0000 0.0000 1
In1 0.5000 0.5000 0.0000 1
Cu1 0.5000 0.5000 0.5000 1
Hg1 0.0000 0.5000 0.5000 1
```

VASP calculation (PBE) on BaIn2CuHg after structural relaxation.

- E_form (meV/atom) = 380
- size of the total moment (μB/f.u.) = 0.0
- relative energy among the computed polymorphs (meV per atom) = 542.7

```
data_BaIn2CuHg
_chemical_formula_sum 'Ba1 In2 Cu1 Hg1'
_space_group_name_H-M_alt 'P 4/m m m'
_space_group_IT_number 123
_space_group_name_Hall '-P 4 2'
_cell_length_a 5.4208
_cell_length_b 5.4208
_cell_length_c 6.7118
_cell_angle_alpha 90.00
_cell_angle_beta 90.00
_cell_angle_gamma 90.00
loop_
_atom_site_label
_atom_site_fract_x
_atom_site_fract_y
_atom_site_fract_z
_atom_site_occupancy
Ba1 0.0000 0.0000 0.0000 1
In1 0.0000 0.5000 0.5000 1
Cu1 0.5000 0.5000 0.0000 1
Hg1 0.0000 0.0000 0.5000 1
```

VASP calculation (PBE) on Ba2InCuHg6 after structural relaxation.

- E_form (meV/atom) = -210
- size of the total moment (μB/f.u.) = 0.0

```
data_Ba2InCuHg6
_chemical_formula_sum 'Ba8 In4 Cu4 Hg24'
_space_group_name_H-M_alt 'F m -3 m'
_space_group_IT_number 225
_space_group_name_Hall '-F 4 2 3'
_cell_length_a 10.8632
_cell_length_b 10.8632
_cell_length_c 10.8632
_cell_angle_alpha 90.00
_cell_angle_beta 90.00
_cell_angle_gamma 90.00
loop_
_atom_site_label
_atom_site_fract_x
_atom_site_fract_y
_atom_site_fract_z
_atom_site_occupancy
Ba1 0.2500 0.2500 0.2500 1
In1 0.0000 0.0000 0.0000 1
Cu1 0.0000 0.0000 0.5000 1
Hg1 0.0000 0.0000 0.2631 1
```

VASP calculation (PBE) on Ba2InCuHg after structural relaxation.

- E_form (meV/atom) = -212
- size of the total moment (μB/f.u.) = 0.0

```
data_Ba2InCuHg
_chemical_formula_sum 'Ba2 In1 Cu1 Hg1'
_space_group_name_H-M_alt 'P 4/m m m'
_space_group_IT_number 123
_space_group_name_Hall '-P 4 2'
_cell_length_a 6.2311
_cell_length_b 6.2311
_cell_length_c 4.9165
_cell_angle_alpha 90.00
_cell_angle_beta 90.00
_cell_angle_gamma 90.00
loop_
_atom_site_label
_atom_site_fract_x
_atom_site_fract_y
_atom_site_fract_z
_atom_site_occupancy
Ba1 0.0000 0.5000 0.0000 1
In1 0.0000 0.0000 0.5000 1
Cu1 0.0000 0.0000 0.0000 1
Hg1 0.5000 0.5000 0.5000 1
```

VASP calculation (PBE) on BaIn2CuHg after structural relaxation.

- E_form (meV/atom) = -163
- size of the total moment (μB/f.u.) = 0.0
- relative energy among the computed polymorphs (meV per atom) = 0.0

```
data_BaIn2CuHg
_chemical_formula_sum 'Ba1 In2 Cu1 Hg1'
_space_group_name_H-M_alt 'P 4/m m m'
_space_group_IT_number 123
_space_group_name_Hall '-P 4 2'
_cell_length_a 5.2210
_cell_length_b 5.2210
_cell_length_c 5.2610
_cell_angle_alpha 90.00
_cell_angle_beta 90.00
_cell_angle_gamma 90.00
loop_
_atom_site_label
_atom_site_fract_x
_atom_site_fract_y
_atom_site_fract_z
_atom_site_occupancy
Ba1 0.0000 0.0000 0.0000 1
In1 0.0000 0.5000 0.5000 1
Cu1 0.5000 0.5000 0.5000 1
Hg1 0.5000 0.5000 0.0000 1
```

VASP calculation (PBE) on BaLaCuHg after structural relaxation.

- E_form (meV/atom) = -163
- size of the total moment (μB/f.u.) = 0.0

```
data_BaLaCuHg
_chemical_formula_sum 'Ba4 La4 Cu4 Hg4'
_space_group_name_H-M_alt 'F -4 3 m'
_space_group_IT_number 216
_space_group_name_Hall 'F -4 2 3'
_cell_length_a 7.8778
_cell_length_b 7.8778
_cell_length_c 7.8778
_cell_angle_alpha 90.00
_cell_angle_beta 90.00
_cell_angle_gamma 90.00
loop_
_atom_site_label
_atom_site_fract_x
_atom_site_fract_y
_atom_site_fract_z
_atom_site_occupancy
Ba1 0.0000 0.0000 0.0000 1
La1 0.0000 0.0000 0.5000 1
Cu1 0.2500 0.2500 0.2500 1
Hg1 0.2500 0.2500 0.7500 1
```

VASP calculation (PBE) on Ba2LiCuHg after structural relaxation.

- E_form (meV/atom) = -90
- size of the total moment (μB/f.u.) = 0.0

```
data_Ba2LiCuHg
_chemical_formula_sum 'Ba2 Li1 Cu1 Hg1'
_space_group_name_H-M_alt 'P 4/m m m'
_space_group_IT_number 123
_space_group_name_Hall '-P 4 2'
_cell_length_a 6.1890
_cell_length_b 6.1890
_cell_length_c 4.8110
_cell_angle_alpha 90.00
_cell_angle_beta 90.00
_cell_angle_gamma 90.00
loop_
_atom_site_label
_atom_site_fract_x
_atom_site_fract_y
_atom_site_fract_z
_atom_site_occupancy
Ba1 0.0000 0.5000 0.0000 1
Li1 0.0000 0.0000 0.5000 1
Cu1 0.0000 0.0000 0.0000 1
Hg1 0.5000 0.5000 0.5000 1
```

VASP calculation (PBE) on Ba2CuHgN after structural relaxation.

- uncorrected formation energy (eV/atom) = -0.29
- size of the total moment (μB/f.u.) = 0.0

```
data_Ba2CuHgN
_chemical_formula_sum 'Ba2 Cu1 Hg1 N1'
_space_group_name_H-M_alt 'P 4/m m m'
_space_group_IT_number 123
_space_group_name_Hall '-P 4 2'
_cell_length_a 5.8930
_cell_length_b 5.8930
_cell_length_c 3.7904
_cell_angle_alpha 90.00
_cell_angle_beta 90.00
_cell_angle_gamma 90.00
loop_
_atom_site_label
_atom_site_fract_x
_atom_site_fract_y
_atom_site_fract_z
_atom_site_occupancy
Ba1 0.0000 0.5000 0.0000 1
Cu1 0.0000 0.0000 0.5000 1
Hg1 0.5000 0.5000 0.5000 1
N1 0.0000 0.0000 0.0000 1
```

VASP calculation (PBE) on Ba2NaCuHg after structural relaxation.

- E_form (meV/atom) = -74
- size of the total moment (μB/f.u.) = 0.0
- relative energy among the computed polymorphs (meV per atom) = 0.0

```
data_Ba2NaCuHg
_chemical_formula_sum 'Ba2 Na1 Cu1 Hg1'
_space_group_name_H-M_alt 'P 4/m m m'
_space_group_IT_number 123
_space_group_name_Hall '-P 4 2'
_cell_length_a 6.2974
_cell_length_b 6.2974
_cell_length_c 5.1036
_cell_angle_alpha 90.00
_cell_angle_beta 90.00
_cell_angle_gamma 90.00
loop_
_atom_site_label
_atom_site_fract_x
_atom_site_fract_y
_atom_site_fract_z
_atom_site_occupancy
Ba1 0.0000 0.5000 0.0000 1
Na1 0.0000 0.0000 0.5000 1
Cu1 0.5000 0.5000 0.0000 1
Hg1 0.5000 0.5000 0.5000 1
```

VASP calculation (PBE) on Ba2NaCuHg after structural relaxation.

- E_form (meV/atom) = -25
- size of the total moment (μB/f.u.) = 0.0
- relative energy among the computed polymorphs (meV per atom) = 49.6

```
data_Ba2NaCuHg
_chemical_formula_sum 'Ba2 Na1 Cu1 Hg1'
_space_group_name_H-M_alt 'P 4/m m m'
_space_group_IT_number 123
_space_group_name_Hall '-P 4 2'
_cell_length_a 6.2010
_cell_length_b 6.2010
_cell_length_c 5.3285
_cell_angle_alpha 90.00
_cell_angle_beta 90.00
_cell_angle_gamma 90.00
loop_
_atom_site_label
_atom_site_fract_x
_atom_site_fract_y
_atom_site_fract_z
_atom_site_occupancy
Ba1 0.0000 0.5000 0.0000 1
Na1 0.0000 0.0000 0.5000 1
Cu1 0.0000 0.0000 0.0000 1
Hg1 0.5000 0.5000 0.5000 1
```

VASP calculation (PBE) on BaNa2CuHg after structural relaxation.

- E_form (meV/atom) = 23
- size of the total moment (μB/f.u.) = 0.0

```
data_BaNa2CuHg
_chemical_formula_sum 'Ba1 Na2 Cu1 Hg1'
_space_group_name_H-M_alt 'P 4/m m m'
_space_group_IT_number 123
_space_group_name_Hall '-P 4 2'
_cell_length_a 5.5259
_cell_length_b 5.5259
_cell_length_c 5.1956
_cell_angle_alpha 90.00
_cell_angle_beta 90.00
_cell_angle_gamma 90.00
loop_
_atom_site_label
_atom_site_fract_x
_atom_site_fract_y
_atom_site_fract_z
_atom_site_occupancy
Ba1 0.0000 0.0000 0.0000 1
Na1 0.0000 0.5000 0.5000 1
Cu1 0.5000 0.5000 0.5000 1
Hg1 0.5000 0.5000 0.0000 1
```

VASP calculation (PBE) on BaNdCuHg after structural relaxation.

- E_form (meV/atom) = -126
- size of the total moment (μB/f.u.) = 0.0

```
data_BaNdCuHg
_chemical_formula_sum 'Ba4 Nd4 Cu4 Hg4'
_space_group_name_H-M_alt 'F -4 3 m'
_space_group_IT_number 216
_space_group_name_Hall 'F -4 2 3'
_cell_length_a 7.8126
_cell_length_b 7.8126
_cell_length_c 7.8126
_cell_angle_alpha 90.00
_cell_angle_beta 90.00
_cell_angle_gamma 90.00
loop_
_atom_site_label
_atom_site_fract_x
_atom_site_fract_y
_atom_site_fract_z
_atom_site_occupancy
Ba1 0.0000 0.0000 0.0000 1
Nd1 0.0000 0.0000 0.5000 1
Cu1 0.2500 0.2500 0.7500 1
Hg1 0.2500 0.2500 0.2500 1
```

VASP calculation (PBE) on BaCuNiHg2 after structural relaxation.

- E_form (meV/atom) = -78
- size of the total moment (μB/f.u.) = 0.0

```
data_BaCuNiHg2
_chemical_formula_sum 'Ba1 Cu1 Ni1 Hg2'
_space_group_name_H-M_alt 'P 4/m m m'
_space_group_IT_number 123
_space_group_name_Hall '-P 4 2'
_cell_length_a 5.0769
_cell_length_b 5.0769
_cell_length_c 4.8890
_cell_angle_alpha 90.00
_cell_angle_beta 90.00
_cell_angle_gamma 90.00
loop_
_atom_site_label
_atom_site_fract_x
_atom_site_fract_y
_atom_site_fract_z
_atom_site_occupancy
Ba1 0.0000 0.0000 0.0000 1
Cu1 0.5000 0.5000 0.0000 1
Ni1 0.5000 0.5000 0.5000 1
Hg1 0.0000 0.5000 0.5000 1
```

VASP calculation (PBE) on BaCu2HgO2 after structural relaxation.

- uncorrected formation energy (eV/atom) = -0.94
- size of the total moment (μB/f.u.) = 0.0

```
data_BaCu2HgO2
_chemical_formula_sum 'Ba2 Cu4 Hg2 O4'
_space_group_name_H-M_alt 'P 1 21/m 1'
_space_group_IT_number 11
_space_group_name_Hall '-P 2yb'
_cell_length_a 4.5314
_cell_length_b 6.2172
_cell_length_c 8.4189
_cell_angle_alpha 90.00
_cell_angle_beta 105.61
_cell_angle_gamma 90.00
loop_
_atom_site_label
_atom_site_fract_x
_atom_site_fract_y
_atom_site_fract_z
_atom_site_occupancy
Ba1 0.2079 0.2500 0.4154 1
Cu1 0.3982 0.2500 0.7952 1
Cu2 0.4307 0.7500 0.8634 1
Hg1 0.0166 0.7500 0.0346 1
O1 0.3435 0.5206 0.6873 1
```

VASP calculation (PBE) on BaCuHgO3 after structural relaxation.

- uncorrected formation energy (eV/atom) = -1.04
- size of the total moment (μB/f.u.) = 1.0

```
data_BaCuHgO3
_chemical_formula_sum 'Ba4 Cu4 Hg4 O12'
_space_group_name_H-M_alt 'C 1 2/m 1'
_space_group_IT_number 12
_space_group_name_Hall '-C 2y'
_cell_length_a 10.0218
_cell_length_b 6.6634
_cell_length_c 6.7725
_cell_angle_alpha 90.00
_cell_angle_beta 114.17
_cell_angle_gamma 90.00
loop_
_atom_site_label
_atom_site_fract_x
_atom_site_fract_y
_atom_site_fract_z
_atom_site_occupancy
Ba1 0.1979 0.0000 0.1488 1
Cu1 0.0804 0.5000 0.2453 1
Hg1 0.0000 0.2213 0.5000 1
O1 0.0588 0.2742 0.8330 1
O2 0.2268 0.0000 0.5740 1
```

VASP calculation (PBE) on Ba6Cu3Hg3O13 after structural relaxation.

- uncorrected formation energy (eV/atom) = -1.52
- size of the total moment (μB/f.u.) = 0.7

```
data_Ba6Cu3Hg3O13
_chemical_formula_sum 'Ba12 Cu6 Hg6 O26'
_space_group_name_H-M_alt 'C 1 2/m 1'
_space_group_IT_number 12
_space_group_name_Hall '-C 2y'
_cell_length_a 16.5234
_cell_length_b 5.4627
_cell_length_c 11.2049
_cell_angle_alpha 90.00
_cell_angle_beta 119.45
_cell_angle_gamma 90.00
loop_
_atom_site_label
_atom_site_fract_x
_atom_site_fract_y
_atom_site_fract_z
_atom_site_occupancy
Ba1 0.0691 0.0000 0.2068 1
Ba2 0.0933 0.5000 0.7798 1
Ba3 0.2346 0.5000 0.2042 1
Cu1 0.0000 0.5000 0.0000 1
Cu2 0.1666 0.0000 0.9982 1
Hg1 0.0000 0.0000 0.5000 1
Hg2 0.1639 0.5000 0.5001 1
O1 0.0000 0.5000 0.5000 1
O2 0.0699 0.0000 0.7095 1
O3 0.0828 0.2482 0.0006 1
O4 0.1005 0.5000 0.2909 1
O5 0.2399 0.5000 0.7093 1
O6 0.2500 0.2500 0.0000 1
```

VASP calculation (PBE) on BaCuHg2O after structural relaxation.

- uncorrected formation energy (eV/atom) = 0.05
- size of the total moment (μB/f.u.) = 0.5

```
data_BaCuHg2O
_chemical_formula_sum 'Ba1 Cu1 Hg2 O1'
_space_group_name_H-M_alt 'P 4/m m m'
_space_group_IT_number 123
_space_group_name_Hall '-P 4 2'
_cell_length_a 7.0113
_cell_length_b 7.0113
_cell_length_c 4.6138
_cell_angle_alpha 90.00
_cell_angle_beta 90.00
_cell_angle_gamma 90.00
loop_
_atom_site_label
_atom_site_fract_x
_atom_site_fract_y
_atom_site_fract_z
_atom_site_occupancy
Ba1 0.0000 0.0000 0.0000 1
Cu1 0.5000 0.5000 0.5000 1
Hg1 0.0000 0.5000 0.0000 1
O1 0.0000 0.0000 0.5000 1
```